(1)
Density functional theory data (PBE) for crystalline NaB4Pd at its relaxed geometry.

a b c (Å): 5.0844 5.0844 5.0844
angles (deg): 149.58 112.50 75.82
With the nearest neighbours (Å) after each atom.
Atoms (fractional coordinates):
Na1 0.0000 0.0000 0.0000  12 B 2.64-2.75, 2 Na 2.67
B1 0.1177 0.7648 0.3529  3 B 1.66-1.79
B2 0.4118 0.7648 0.6471  3 B 1.66-1.79
B3 0.5882 0.2352 0.3529  3 B 1.66-1.79
B4 0.8823 0.2352 0.6471  3 B 1.66-1.79
Pd1 0.5000 0.5000 0.0000  8 B 2.46, 2 Pd 2.67

Computed properties:
Energy relative to the lowest polymorph listed for this composition ... 27.5 meV per atom
Raw total energy ... -0.392 Ry per atom
Crystal system ... orthorhombic
Symmetry ... No. 71

(2)
Density functional theory data (PBE) for crystalline NaB4Pd at its relaxed geometry.

a b c (Å): 3.0403 3.0403 7.6743
angles (deg): 90.00 90.00 120.00
With the nearest neighbours (Å) after each atom.
Atoms (fractional coordinates):
Na1 0.0000 0.0000 0.0000  12 B 2.75, 6 Na 3.04
B1 0.3333 0.6667 0.2754  3 B 1.76
B2 0.3333 0.6667 0.7246  3 B 1.76
B3 0.6667 0.3333 0.2754  3 B 1.76
B4 0.6667 0.3333 0.7246  3 B 1.76
Pd1 0.0000 0.0000 0.5000  12 B 2.46

Computed properties:
Energy relative to the lowest polymorph listed for this composition ... 0.0 meV per atom
Raw total energy ... -0.394 Ry per atom
Crystal system ... hexagonal
Symmetry ... No. 191

(3)
Density functional theory data (PBE) for crystalline NaSnBPd at its relaxed geometry.

a b c (Å): 4.5160 4.5160 4.5160
angles (deg): 60.00 60.00 60.00
With the nearest neighbours (Å) after each atom.
Atoms (fractional coordinates):
Na1 0.0000 0.0000 0.0000  4 Sn 2.77, 4 Pd 2.77
Sn1 0.7500 0.7500 0.7500  4 B 2.77, 4 Na 2.77
B1 0.5000 0.5000 0.5000  4 Pd 2.77, 4 Sn 2.77
Pd1 0.2500 0.2500 0.2500  4 B 2.77, 4 Na 2.77

Computed properties:
Energy relative to the lowest polymorph listed for this composition ... 146.3 meV per atom
Raw total energy ... -0.267 Ry per atom
Crystal system ... cubic
Symmetry ... No. 216

(4)
Density functional theory data (PBE) for crystalline NaSnBPd at its relaxed geometry.

a b c (Å): 4.5192 4.5192 4.5192
angles (deg): 60.00 60.00 60.00
With the nearest neighbours (Å) after each atom.
Atoms (fractional coordinates):
Na1 0.0000 0.0000 0.0000  4 Sn 2.77, 4 B 2.77
Sn1 0.7500 0.7500 0.7500  4 Na 2.77, 4 Pd 2.77
B1 0.2500 0.2500 0.2500  4 Na 2.77, 4 Pd 2.77
Pd1 0.5000 0.5000 0.5000  4 Sn 2.77, 4 B 2.77

Computed properties:
Energy relative to the lowest polymorph listed for this composition ... 44.0 meV per atom
Raw total energy ... -0.274 Ry per atom
Crystal system ... cubic
Symmetry ... No. 216

(5)
Density functional theory data (PBE) for crystalline NaSnBPd at its relaxed geometry.

a b c (Å): 4.5509 4.5509 4.5509
angles (deg): 60.00 60.00 60.00
With the nearest neighbours (Å) after each atom.
Atoms (fractional coordinates):
Na1 0.0000 0.0000 0.0000  4 B 2.79, 4 Pd 2.79
Sn1 0.5000 0.5000 0.5000  4 B 2.79, 4 Pd 2.79
B1 0.7500 0.7500 0.7500  4 Sn 2.79, 4 Na 2.79
Pd1 0.2500 0.2500 0.2500  4 Sn 2.79, 4 Na 2.79

Computed properties:
Energy relative to the lowest polymorph listed for this composition ... 0.0 meV per atom
Raw total energy ... -0.278 Ry per atom
Crystal system ... cubic
Symmetry ... No. 216

(6)
Density functional theory data (PBE) for crystalline NaZrBPd at its relaxed geometry.

a b c (Å): 4.4919 4.4919 4.4919
angles (deg): 60.00 60.00 60.00
With the nearest neighbours (Å) after each atom.
Atoms (fractional coordinates):
Na1 0.0000 0.0000 0.0000  4 B 2.75, 4 Pd 2.75
Zr1 0.5000 0.5000 0.5000  4 B 2.75, 4 Pd 2.75
B1 0.7500 0.7500 0.7500  4 Zr 2.75, 4 Na 2.75
Pd1 0.2500 0.2500 0.2500  4 Zr 2.75, 4 Na 2.75

Computed properties:
Energy relative to the lowest polymorph listed for this composition ... 0.0 meV per atom
Raw total energy ... -0.378 Ry per atom
Crystal system ... cubic
Symmetry ... No. 216

(7)
Density functional theory data (PBE) for crystalline NaZrBPd at its relaxed geometry.

a b c (Å): 4.3588 4.3588 4.3588
angles (deg): 60.00 60.00 60.00
With the nearest neighbours (Å) after each atom.
Atoms (fractional coordinates):
Na1 0.0000 0.0000 0.0000  4 Zr 2.67, 4 Pd 2.67
Zr1 0.7500 0.7500 0.7500  4 Na 2.67, 4 B 2.67
B1 0.5000 0.5000 0.5000  4 Zr 2.67, 4 Pd 2.67
Pd1 0.2500 0.2500 0.2500  4 B 2.67, 4 Na 2.67

Computed properties:
Energy relative to the lowest polymorph listed for this composition ... 42.2 meV per atom
Raw total energy ... -0.375 Ry per atom
Crystal system ... cubic
Symmetry ... No. 216

(8)
Density functional theory data (PBE) for crystalline NaPrB4 at its relaxed geometry.

a b c (Å): 3.1663 3.1663 8.6015
angles (deg): 90.00 90.00 120.00
With the nearest neighbours (Å) after each atom.
Atoms (fractional coordinates):
Na1 0.0000 0.0000 0.0000  12 B 2.80
Pr1 0.0000 0.0000 0.5000  12 B 2.85, 6 Pr 3.17
B1 0.3333 0.6667 0.2464  3 B 1.83
B2 0.3333 0.6667 0.7536  3 B 1.83
B3 0.6667 0.3333 0.2464  3 B 1.83
B4 0.6667 0.3333 0.7536  3 B 1.83

Computed properties:
Energy relative to the lowest polymorph listed for this composition ... 52.6 meV per atom
Raw total energy ... -0.394 Ry per atom
Crystal system ... hexagonal
Symmetry ... No. 191

(9)
Density functional theory data (PBE) for crystalline NaPrB4 at its relaxed geometry.

a b c (Å): 5.3351 5.3351 5.3351
angles (deg): 145.48 116.11 74.69
With the nearest neighbours (Å) after each atom.
Atoms (fractional coordinates):
Na1 0.0000 0.0000 0.0000  12 B 2.74-2.87
Pr1 0.5000 0.5000 0.0000  12 B 2.80-2.81
B1 0.0708 0.7549 0.3159  2 B 1.75
B2 0.4390 0.7549 0.6841  2 B 1.75
B3 0.5610 0.2451 0.3159  2 B 1.75
B4 0.9292 0.2451 0.6841  2 B 1.75

Computed properties:
Energy relative to the lowest polymorph listed for this composition ... 0.0 meV per atom
Raw total energy ... -0.398 Ry per atom
Crystal system ... orthorhombic
Symmetry ... No. 71

(10)
Density functional theory data (PBE) for crystalline NaBPt3 at its relaxed geometry.

a b c (Å): 5.6038 5.6038 5.5680
angles (deg): 92.38 92.38 59.99
With the nearest neighbours (Å) after each atom.
Atoms (fractional coordinates):
Na1 0.0000 0.0000 0.0000  2 Na 2.78
Na2 0.0000 0.0000 0.5000  2 Na 2.78, 8 Pt 3.03-3.11
B1 0.3334 0.3334 0.0000  6 Pt 2.14-2.18
B2 0.6666 0.6666 0.0000  6 Pt 2.14-2.18
Pt1 0.0048 0.5029 0.2575  2 B 2.15-2.17
Pt2 0.4952 0.4952 0.7421  2 B 2.14-2.18
Pt3 0.4971 0.9952 0.7425  2 B 2.15-2.17
Pt4 0.5029 0.0048 0.2575  2 B 2.15-2.17
Pt5 0.5048 0.5048 0.2579  2 B 2.14-2.18
Pt6 0.9952 0.4971 0.7425  2 B 2.15-2.17

Computed properties:
Raw total energy ... -0.417 Ry per atom
Crystal system ... monoclinic
Symmetry ... No. 12

(11)
Density functional theory data (PBE) for crystalline NaSmB4 at its relaxed geometry.

a b c (Å): 5.2201 5.2201 5.2201
angles (deg): 144.74 115.04 76.12
With the nearest neighbours (Å) after each atom.
Atoms (fractional coordinates):
Na1 0.0000 0.0000 0.0000  12 B 2.69-2.82
Sm1 0.5000 0.5000 0.0000  12 B 2.75-2.76
B1 0.0743 0.7559 0.3184  2 B 1.76
B2 0.4375 0.7559 0.6816  2 B 1.76
B3 0.5625 0.2441 0.3184  2 B 1.76
B4 0.9257 0.2441 0.6816  2 B 1.76

Computed properties:
Energy relative to the lowest polymorph listed for this composition ... 0.0 meV per atom
Raw total energy ... -0.402 Ry per atom
Crystal system ... orthorhombic
Symmetry ... No. 71

(12)
Density functional theory data (PBE) for crystalline NaSmB at its relaxed geometry.

a b c (Å): 4.4929 4.4929 4.4929
angles (deg): 60.00 60.00 60.00
With the nearest neighbours (Å) after each atom.
Atoms (fractional coordinates):
Na1 0.0000 0.0000 0.0000  4 B 2.75
Sm1 0.5000 0.5000 0.5000  4 B 2.75
B1 0.2500 0.2500 0.2500  4 Na 2.75, 4 Sm 2.75

Computed properties:
Energy relative to the lowest polymorph listed for this composition ... 0.0 meV per atom
Raw total energy ... -0.276 Ry per atom
Crystal system ... cubic
Symmetry ... No. 216